LaCeCu after structural relaxation. Source: Alexandria, functional PBE.

Unit cell a=8.295 b=8.295 c=5.377 alpha=90.00 beta=90.00 gamma=155.65
Element x y z (fractional)
La 0.073 0.927 0.750
La 0.927 0.073 0.250
Ce 0.236 0.764 0.250
Ce 0.764 0.236 0.750
Cu 0.409 0.591 0.750
Cu 0.591 0.409 0.250

Values from the calculation:
distance to the lowest polymorph of the same formula = 6 kJ/mol of formula units
DFT formation energy = -0.02 eV per atom
density of states at the Fermi level = 11.9 states/eV/cell
V = 153 Å³ per cell

=====

Ho2MnTc after structural relaxation. Source: Alexandria, functional PBE.

Unit cell a=3.516 b=3.516 c=6.751 alpha=90.00 beta=90.00 gamma=90.00
Element x y z (fractional)
Ho 0.000 0.000 0.237
Ho 0.000 0.000 0.763
Mn 0.500 0.500 0.500
Tc 0.500 0.500 0.000

Values from the calculation:
distance to the lowest polymorph of the same formula = 0 kJ/mol of formula units
DFT formation energy = 0.11 eV per atom
density of states at the Fermi level = 3.9 states/eV/cell
V = 83 Å³ per cell

=====

LaPr12Y7 after structural relaxation. Source: Alexandria, functional PBE.

Unit cell a=11.207 b=11.207 c=11.207 alpha=115.85 beta=115.85 gamma=115.85
Element x y z (fractional)
La 0.000 0.000 0.000
Pr 0.071 0.286 0.496
Pr 0.206 0.749 0.269
Pr 0.251 0.731 0.794
Pr 0.269 0.206 0.749
Pr 0.286 0.496 0.071
Pr 0.496 0.071 0.286
Pr 0.504 0.929 0.714
Pr 0.714 0.504 0.929
Pr 0.731 0.794 0.251
Pr 0.749 0.269 0.206
Pr 0.794 0.251 0.731
Pr 0.929 0.714 0.504
Y 0.081 0.385 0.222
Y 0.222 0.081 0.385
Y 0.385 0.222 0.081
Y 0.500 0.500 0.500
Y 0.615 0.778 0.919
Y 0.778 0.919 0.615
Y 0.919 0.615 0.778

Values from the calculation:
distance to the lowest polymorph of the same formula = 150 kJ/mol of formula units
DFT formation energy = 0.28 eV per atom
density of states at the Fermi level = 27.9 states/eV/cell
V = 723 Å³ per cell

=====

LiCo2Hg2 after structural relaxation. Source: Alexandria, functional PBE.

Unit cell a=7.615 b=7.615 c=2.931 alpha=90.00 beta=90.00 gamma=90.00
Element x y z (fractional)
Li 0.000 0.000 0.000
Li 0.500 0.500 0.000
Co 0.104 0.396 0.000
Co 0.396 0.896 0.000
Co 0.604 0.104 0.000
Co 0.896 0.604 0.000
Hg 0.190 0.690 0.500
Hg 0.310 0.190 0.500
Hg 0.690 0.810 0.500
Hg 0.810 0.310 0.500

Values from the calculation:
DFT formation energy = 0.26 eV per atom
density of states at the Fermi level = 8.2 states/eV/cell
V = 170 Å³ per cell

=====

Sm2Al3Sn after structural relaxation. Source: Alexandria, functional PBE.

Unit cell a=4.121 b=4.469 c=7.784 alpha=90.00 beta=90.00 gamma=90.00
Element x y z (fractional)
Sm 0.000 0.000 0.000
Sm 0.000 0.500 0.492
Al 0.500 0.000 0.326
Al 0.500 0.000 0.650
Al 0.500 0.500 0.172
Sn 0.500 0.500 0.832

Values from the calculation:
DFT formation energy = -0.50 eV per atom
density of states at the Fermi level = 3.0 states/eV/cell
V = 143 Å³ per cell

=====

ScCo4B after structural relaxation. Source: Alexandria, functional PBE.

Unit cell a=6.898 b=6.898 c=5.317 alpha=90.00 beta=90.00 gamma=146.58
Element x y z (fractional)
Sc 0.095 0.905 0.750
Sc 0.905 0.095 0.250
Co 0.116 0.884 0.250
Co 0.294 0.706 0.016
Co 0.294 0.706 0.484
Co 0.500 0.500 0.000
Co 0.500 0.500 0.500
Co 0.706 0.294 0.516
Co 0.706 0.294 0.984
Co 0.884 0.116 0.750
B 0.394 0.606 0.750
B 0.606 0.394 0.250

Values from the calculation:
DFT formation energy = -0.20 eV per atom
density of states at the Fermi level = 8.9 states/eV/cell
V = 139 Å³ per cell

=====

CePmPaSb after structural relaxation. Source: Alexandria, functional PBE.

Unit cell a=5.398 b=5.398 c=5.398 alpha=60.00 beta=60.00 gamma=60.00
Element x y z (fractional)
Ce 0.000 0.000 0.000
Pm 0.500 0.500 0.500
Pa 0.250 0.250 0.250
Sb 0.750 0.750 0.750

Values from the calculation:
electronic total energy = -24.587 eV for the cell shown
density of states at the Fermi level = 9.1 states/eV/cell
V = 111 Å³ per cell

=====

SrYBr2 after structural relaxation. Source: Alexandria, functional PBE.

Unit cell a=3.925 b=4.836 c=6.833 alpha=90.00 beta=92.55 gamma=90.00
Element x y z (fractional)
Sr 0.000 0.000 0.000
Y 0.500 0.000 0.500
Br 0.378 0.500 0.249
Br 0.622 0.500 0.751

Values from the calculation:
distance to the lowest polymorph of the same formula = 55 kJ/mol of formula units
density of states at the Fermi level = 2.5 states/eV/cell
V = 130 Å³ per cell

=====

ZrBr2 after structural relaxation. Source: Alexandria, functional PBE.

Unit cell a=4.716 b=4.716 c=8.451 alpha=90.00 beta=90.00 gamma=120.00
Element x y z (fractional)
Zr 0.333 0.667 0.250
Zr 0.667 0.333 0.750
Br 0.000 0.000 0.000
Br 0.000 0.000 0.500
Br 0.333 0.667 0.750
Br 0.667 0.333 0.250

Values from the calculation:
electronic total energy = -25.755 eV for the cell shown
density of states at the Fermi level = 7.2 states/eV/cell
V = 163 Å³ per cell

=====

Dy12TcSb6 after structural relaxation. Source: Alexandria, functional PBE.

Unit cell a=8.526 b=8.526 c=8.526 alpha=99.46 beta=99.46 gamma=99.46
Element x y z (fractional)
Dy 0.008 0.685 0.943
Dy 0.057 0.992 0.315
Dy 0.197 0.416 0.548
Dy 0.315 0.057 0.992
Dy 0.416 0.548 0.197
Dy 0.452 0.803 0.584
Dy 0.548 0.197 0.416
Dy 0.584 0.452 0.803
Dy 0.685 0.943 0.008
Dy 0.803 0.584 0.452
Dy 0.943 0.008 0.685
Dy 0.992 0.315 0.057
Tc 0.000 0.000 0.000
Sb 0.120 0.647 0.316
Sb 0.316 0.120 0.647
Sb 0.353 0.684 0.880
Sb 0.647 0.316 0.120
Sb 0.684 0.880 0.353
Sb 0.880 0.353 0.684

Values from the calculation:
electronic total energy = -101.468 eV for the cell shown
density of states at the Fermi level = 13.1 states/eV/cell
V = 591 Å³ per cell

=====

Sc6AlCo5 after structural relaxation. Source: Alexandria, functional PBE.

Unit cell a=7.753 b=7.753 c=7.753 alpha=146.58 beta=131.27 gamma=60.38
Element x y z (fractional)
Sc 0.071 0.328 0.743
Sc 0.235 0.000 0.235
Sc 0.415 0.672 0.743
Sc 0.585 0.328 0.257
Sc 0.765 0.000 0.765
Sc 0.929 0.672 0.257
Al 0.500 0.500 0.000
Co 0.000 0.500 0.500
Co 0.168 0.168 0.000
Co 0.339 0.839 0.500
Co 0.661 0.161 0.500
Co 0.832 0.832 0.000

Values from the calculation:
DFT formation energy = -0.35 eV per atom
density of states at the Fermi level = 6.8 states/eV/cell
V = 191 Å³ per cell

=====

CsUZn2Cl8 after structural relaxation. Source: Alexandria, functional PBE.

Unit cell a=10.989 b=10.989 c=10.989 alpha=34.94 beta=34.94 gamma=34.94
Element x y z (fractional)
Cs 0.000 0.000 0.000
U 0.500 0.500 0.500
Zn 0.247 0.247 0.247
Zn 0.753 0.753 0.753
Cl 0.108 0.784 0.449
Cl 0.216 0.551 0.892
Cl 0.319 0.319 0.319
Cl 0.449 0.108 0.784
Cl 0.551 0.892 0.216
Cl 0.681 0.681 0.681
Cl 0.784 0.449 0.108
Cl 0.892 0.216 0.551

Values from the calculation:
electronic total energy = -47.036 eV for the cell shown
V = 389 Å³ per cell

=====

Pm4Pr3Se8 after structural relaxation. Source: Alexandria, functional PBE.

Unit cell a=8.433 b=8.433 c=8.423 alpha=119.95 beta=119.95 gamma=90.01
Element x y z (fractional)
Pm 0.000 0.000 0.000
Pm 0.000 0.000 0.500
Pm 0.000 0.500 0.000
Pm 0.500 0.000 0.000
Pr 0.000 0.500 0.500
Pr 0.500 0.000 0.500
Pr 0.500 0.500 0.500
Se 0.248 0.752 0.500
Se 0.249 0.249 0.502
Se 0.250 0.250 0.996
Se 0.251 0.749 0.000
Se 0.749 0.251 0.000
Se 0.750 0.750 0.004
Se 0.751 0.751 0.498
Se 0.752 0.248 0.500

Values from the calculation:
electronic total energy = -89.352 eV for the cell shown
density of states at the Fermi level = 7.0 states/eV/cell
V = 424 Å³ per cell

=====

Sr2Y2Ir after structural relaxation. Source: Alexandria, functional PBE.

Unit cell a=7.358 b=7.358 c=6.308 alpha=90.00 beta=90.00 gamma=90.00
Element x y z (fractional)
Sr 0.179 0.321 0.000
Sr 0.321 0.821 0.000
Sr 0.679 0.179 0.000
Sr 0.821 0.679 0.000
Y 0.168 0.668 0.500
Y 0.332 0.168 0.500
Y 0.668 0.832 0.500
Y 0.832 0.332 0.500
Ir 0.000 0.000 0.500
Ir 0.500 0.500 0.500

Values from the calculation:
DFT formation energy = -0.07 eV per atom
density of states at the Fermi level = 11.2 states/eV/cell
V = 342 Å³ per cell

=====

Ni2Pt7Rh2 after structural relaxation. Source: Alexandria, functional PBE.

Unit cell a=5.903 b=5.903 c=5.269 alpha=102.31 beta=102.31 gamma=99.24
Element x y z (fractional)
Ni 0.146 0.146 0.445
Ni 0.854 0.854 0.555
Pt 0.077 0.574 0.303
Pt 0.318 0.318 0.966
Pt 0.426 0.923 0.697
Pt 0.500 0.500 0.500
Pt 0.574 0.077 0.303
Pt 0.682 0.682 0.034
Pt 0.923 0.426 0.697
Rh 0.142 0.858 0.000
Rh 0.858 0.142 0.000

Values from the calculation:
distance to the lowest polymorph of the same formula = 7 kJ/mol of formula units
DFT formation energy = 0.18 eV per atom
density of states at the Fermi level = 16.2 states/eV/cell
V = 171 Å³ per cell

=====

Tb2DyPb9 after structural relaxation. Source: Alexandria, functional PBE.

Unit cell a=4.881 b=4.881 c=14.648 alpha=90.00 beta=90.00 gamma=90.00
Element x y z (fractional)
Tb 0.000 0.000 0.167
Tb 0.000 0.000 0.833
Dy 0.000 0.000 0.500
Pb 0.000 0.500 0.000
Pb 0.000 0.500 0.334
Pb 0.000 0.500 0.666
Pb 0.500 0.000 0.000
Pb 0.500 0.000 0.334
Pb 0.500 0.000 0.666
Pb 0.500 0.500 0.167
Pb 0.500 0.500 0.500
Pb 0.500 0.500 0.833

Values from the calculation:
DFT formation energy = -0.29 eV per atom
density of states at the Fermi level = 6.7 states/eV/cell
V = 349 Å³ per cell

=====

Li2TeCl after structural relaxation. Source: Alexandria, functional PBE.

Unit cell a=3.818 b=3.284 c=7.239 alpha=90.00 beta=90.07 gamma=90.00
Element x y z (fractional)
Li 0.004 0.000 0.265
Li 0.996 0.000 0.735
Te 0.500 0.500 0.000
Cl 0.000 0.500 0.500

Values from the calculation:
distance to the lowest polymorph of the same formula = 15 kJ/mol of formula units
density of states at the Fermi level = 0.6 states/eV/cell
V = 91 Å³ per cell

=====

NaAcHS after structural relaxation. Source: Alexandria, functional PBE.

Unit cell a=4.920 b=4.920 c=4.920 alpha=60.00 beta=60.00 gamma=60.00
Element x y z (fractional)
Na 0.000 0.000 0.000
Ac 0.500 0.500 0.500
H 0.250 0.250 0.250
S 0.750 0.750 0.750

Values from the calculation:
electronic total energy = -15.948 eV for the cell shown
density of states at the Fermi level = 3.3 states/eV/cell
V = 84 Å³ per cell

=====

Sr2Zn3Ge4Pd after structural relaxation. Source: Alexandria, functional PBE.

Unit cell a=4.403 b=4.403 c=10.659 alpha=90.00 beta=90.00 gamma=90.00
Element x y z (fractional)
Sr 0.000 0.500 0.247
Sr 0.500 0.000 0.753
Zn 0.000 0.000 0.000
Zn 0.000 0.500 0.635
Zn 0.500 0.000 0.365
Ge 0.000 0.000 0.500
Ge 0.000 0.500 0.872
Ge 0.500 0.000 0.128
Ge 0.500 0.500 0.500
Pd 0.500 0.500 0.000

Values from the calculation:
DFT formation energy = -0.44 eV per atom
density of states at the Fermi level = 2.9 states/eV/cell
V = 207 Å³ per cell

=====

PmSm4As5 after structural relaxation. Source: Alexandria, functional PBE.

Unit cell a=11.161 b=11.161 c=11.161 alpha=158.19 beta=149.01 gamma=38.22
Element x y z (fractional)
Pm 0.000 0.000 0.000
Sm 0.200 0.200 0.000
Sm 0.400 0.400 0.000
Sm 0.600 0.600 0.000
Sm 0.800 0.800 0.000
As 0.101 0.601 0.500
As 0.300 0.800 0.500
As 0.500 0.000 0.500
As 0.700 0.200 0.500
As 0.899 0.399 0.500

Values from the calculation:
DFT formation energy = -1.53 eV per atom
density of states at the Fermi level = 1.7 states/eV/cell
V = 266 Å³ per cell